Computed, not measured: crystalline As2WBrO at its relaxed geometry at the PBE with a Hubbard U level of DFT.

N(E_F)   1.30 states/eV/cell
Relative energy among the computed polymorphs   0 meV/atom

Cell lengths 4.167, 4.167, 5.827 Å; angles 90.00, 90.00, 90.00 degrees
Last column: magnetic moment on the atom in μB.
Atoms (fractional coordinates):
Br 0.000 0.000 0.500  -0.06
W 0.500 0.500 0.500  3.32
As 0.500 0.000 0.000  -0.25
As 0.000 0.500 0.000  -0.25
O 0.000 0.000 0.000  -0.07